Pm3Pr (PBE, relaxed); formation energy from the elements = 0.05 eV/f.u.; V = 34.9 Å³ per atom; excess energy over the best structure of this formula in the dataset = 0.000 eV/atom; density of states at the Fermi level = 5.51 states/eV/cell
1.0
3.653 0.000 -0.333
0.000 3.669 0.000
0.938 0.000 10.322
Pm Pr
3 1
Cartesian
2.061 1.834 2.414
0.467 0.000 5.138
3.654 0.000 -0.309
2.530 1.834 7.575

=====

Pr6Os2O (PBE, relaxed); V = 26.9 Å³ per atom; ΔE_f (raw) = -5.826 eV/f.u.; density of states at the Fermi level = 15.75 states/eV/cell
1.0
6.666 0.000 -0.037
0.000 7.442 0.000
0.267 0.000 9.757
Pr O Os
12 2 4
Cartesian
2.547 4.064 2.367
1.291 2.367 5.518
4.681 1.244 4.247
4.491 1.354 0.621
5.642 5.075 4.202
0.920 0.343 2.493
2.442 6.088 9.099
5.452 4.966 0.575
6.013 7.099 7.227
4.386 3.378 7.353
2.252 6.198 5.473
1.481 2.477 9.145
3.333 3.721 -0.019
0.133 0.000 4.879
0.469 4.490 7.363
6.464 2.952 2.357
3.668 6.673 2.466
3.265 0.769 7.254

=====

La2YMo (PBE, relaxed); formation energy from the elements = 1.52 eV/f.u.; V = 30.1 Å³ per atom; excess energy over the best structure of this formula in the dataset = 0.084 eV/atom; density of states at the Fermi level = 6.54 states/eV/cell
1.0
-0.283 -1.731 -3.060
3.224 1.431 0.027
3.649 -8.305 4.361
La Y Mo
2 1 1
Cartesian
1.602 -3.647 1.915
0.222 -0.506 0.266
4.207 -6.379 1.755
2.383 -2.226 -0.426

=====

HgBrCl2 (PBE, relaxed); V = 33.8 Å³ per atom; excess energy over the best structure of this formula in the dataset = 0.043 eV/atom; ΔE_f (raw) = -0.852 eV/f.u.; density of states at the Fermi level = 4.25 states/eV/cell
1.0
-2.419 -0.640 -3.384
4.527 -12.479 3.958
-8.815 14.456 -1.243
Cl Br Hg
4 2 2
Cartesian
-2.762 -1.571 -1.030
-4.072 5.220 -1.364
-4.147 2.045 0.782
-7.363 7.733 -2.843
0.788 -3.491 0.498
1.118 -10.492 0.497
-5.332 3.349 -2.028
-1.576 -2.875 1.780

=====

ZrAg2BAs (PBE, relaxed); formation energy from the elements = 5.16 eV/f.u.; V = 22.9 Å³ per atom; density of states at the Fermi level = 1.68 states/eV/cell
1.0
-3.445 -1.051 -3.015
1.089 -5.059 0.519
-3.037 -0.288 3.571
B Zr Ag As
1 1 2 1
Cartesian
-2.697 -3.199 0.538
0.544 -2.530 0.259
-1.519 -0.144 1.786
-1.723 -0.525 -1.507
0.000 0.000 0.000

=====

KNaTlPd (PBE, relaxed); formation energy from the elements = 0.00 eV/f.u.; V = 25.5 Å³ per atom; excess energy over the best structure of this formula in the dataset = 0.116 eV/atom; density of states at the Fermi level = 1.17 states/eV/cell
1.0
5.242 0.000 0.000
2.621 4.540 0.000
2.621 1.513 4.280
Pd K Na Tl
1 1 1 1
Cartesian
5.242 3.026 2.140
2.621 1.513 1.070
0.000 0.000 0.000
7.863 4.540 3.210

=====

BaZnCd2 (PBE, relaxed); formation energy from the elements = -0.48 eV/f.u.; V = 29.6 Å³ per atom; density of states at the Fermi level = 2.09 states/eV/cell
1.0
-0.683 5.091 -2.876
-5.591 -0.216 -1.829
2.773 -0.167 5.190
Zn Cd Ba
1 2 1
Cartesian
-0.523 3.680 -0.019
-5.992 4.656 -4.495
-3.418 2.656 -2.564
-2.978 1.027 0.504

=====

Nd3Sm4DySe8 (PBE, relaxed); V = 25.9 Å³ per atom; ΔE_f (raw) = -28.945 eV/f.u.; density of states at the Fermi level = 10.79 states/eV/cell
1.0
-7.186 0.378 -4.289
-4.290 -0.112 7.178
5.931 5.780 -1.247
Se Sm Dy Nd
8 4 1 3
Cartesian
-8.637 0.223 2.132
-3.480 3.186 -2.070
-5.656 3.111 1.570
-2.065 2.860 3.712
3.092 5.823 -0.489
-0.578 6.016 -2.679
-4.968 0.030 4.322
0.111 2.935 0.072
0.000 0.000 0.000
-0.628 3.079 -2.768
2.965 2.890 -0.623
-3.593 0.189 -2.144
-2.145 -0.056 3.589
-2.773 3.023 0.821
0.820 2.834 2.966
-5.738 0.133 1.445

=====

BaNa2Eu (PBE, relaxed); formation energy from the elements = 0.25 eV/f.u.; V = 46.5 Å³ per atom; excess energy over the best structure of this formula in the dataset = 0.000 eV/atom; density of states at the Fermi level = 15.05 states/eV/cell
1.0
-4.779 -4.255 0.372
0.943 -5.632 2.910
-2.792 -1.198 5.643
Eu Na Ba
1 2 1
Cartesian
0.000 0.000 0.000
-4.970 -8.314 6.695
-1.657 -2.771 2.232
-3.314 -5.542 4.463

=====

Pr8AsIr3I3 (PBE, relaxed); V = 33.5 Å³ per atom; ΔE_f (raw) = -13.223 eV/f.u.; density of states at the Fermi level = 11.13 states/eV/cell
1.0
-4.925 -7.025 0.536
4.295 2.776 6.911
-7.365 4.953 -2.760
I Ir Pr As
3 3 8 1
Cartesian
0.000 0.000 0.000
2.147 1.388 3.455
-0.315 -2.125 3.724
-1.535 3.864 2.075
-3.998 0.352 2.343
-6.145 -1.036 -1.112
-5.809 -3.702 -0.123
-4.533 1.059 5.065
-4.234 3.084 1.518
-3.463 -0.355 -0.379
-6.704 -0.432 1.667
-3.762 -2.380 3.168
-2.186 4.406 4.810
-1.291 1.136 3.020
-3.682 2.476 -1.380

=====

Pr6As2Se3 (PBE, relaxed); V = 29.8 Å³ per atom; ΔE_f (raw) = -16.546 eV/f.u.; density of states at the Fermi level = 7.48 states/eV/cell
1.0
7.256 0.000 0.000
0.000 6.251 -3.609
0.000 0.000 7.218
Se Pr As
3 6 2
Cartesian
3.628 0.000 0.000
7.256 4.167 0.000
0.000 2.084 3.609
1.867 2.101 -1.213
5.389 0.000 4.792
1.867 6.251 -1.183
1.867 4.150 2.396
5.389 4.150 4.822
5.389 2.101 1.213
3.628 2.084 3.609
3.629 4.167 0.000

=====

Ag4BiAs (PBE, relaxed); formation energy from the elements = 1.07 eV/f.u.; V = 20.8 Å³ per atom; density of states at the Fermi level = 2.41 states/eV/cell
1.0
-0.158 1.111 -5.500
1.456 -3.957 -3.706
-3.914 -2.393 -3.235
Ag As Bi
4 1 1
Cartesian
-2.364 -1.295 -5.923
-1.556 -3.830 -5.025
0.323 -2.078 -6.158
-1.635 -3.275 -7.777
0.000 0.000 0.000
-0.654 -1.310 -3.110

=====

ReSbP2 (PBE, relaxed); V = 16.5 Å³ per atom; ΔE_f (raw) = 3.100 eV/f.u.; density of states at the Fermi level = 3.34 states/eV/cell
1.0
-3.495 -2.713 0.982
-1.864 -2.558 -3.244
0.567 -4.496 0.054
P Re Sb
2 1 1
Cartesian
-1.198 -2.442 -0.552
0.000 0.000 0.000
-2.396 -4.884 -1.104
-3.594 -7.326 -1.656

=====

KRbSr2I (PBE, relaxed); V = 90.3 Å³ per atom; ΔE_f (raw) = 1.611 eV/f.u.; density of states at the Fermi level = 4.15 states/eV/cell
1.0
-7.252 1.114 2.929
-2.865 -2.783 -6.034
0.198 -7.207 3.230
K Sr Rb I
1 2 1 1
Cartesian
-1.432 -1.392 -3.017
-3.626 0.557 1.465
0.099 -3.603 1.615
0.000 0.000 0.000
-4.960 -4.438 0.062

=====

Ti2V3As2 (PBE, relaxed); formation energy from the elements = -3.61 eV/f.u.; V = 15.1 Å³ per atom; density of states at the Fermi level = 4.49 states/eV/cell
1.0
3.471 0.000 0.000
-1.735 4.738 -0.086
0.000 -2.288 6.454
As V Ti
2 3 2
Cartesian
0.000 1.163 1.325
1.735 1.287 5.044
1.735 0.000 0.000
1.735 0.160 2.813
0.000 2.290 3.556
1.735 3.134 1.346
0.000 -0.684 5.022

=====

MgOs2W (PBE, relaxed); formation energy from the elements = 1.26 eV/f.u.; V = 15.2 Å³ per atom; density of states at the Fermi level = 2.74 states/eV/cell
1.0
-2.339 -1.630 -4.135
0.363 -4.927 -0.907
-1.234 2.852 3.946
Mg Os W
1 2 1
Cartesian
-2.280 -1.028 -1.355
-0.929 -2.677 0.259
0.000 0.000 0.000
-0.988 -3.278 -2.521

=====

BeCrOs4 (PBE, relaxed); formation energy from the elements = 4.80 eV/f.u.; V = 15.5 Å³ per atom; density of states at the Fermi level = 7.76 states/eV/cell
1.0
0.000 3.599 3.599
3.599 0.000 3.599
3.599 3.599 0.000
Be Os Cr
1 4 1
Cartesian
5.399 5.399 5.399
4.499 2.699 4.499
2.699 4.499 4.499
4.499 4.499 2.699
2.699 2.699 2.699
0.000 0.000 0.000

=====

FeCoRu2 (PBE, relaxed); formation energy from the elements = 1.28 eV/f.u.; V = 13.1 Å³ per atom; excess energy over the best structure of this formula in the dataset = 0.206 eV/atom; density of states at the Fermi level = 5.73 states/eV/cell
1.0
-2.266 -0.436 -1.223
2.069 -1.268 -0.966
-1.572 -6.566 5.254
Co Ru Fe
1 2 1
Cartesian
-0.803 -3.353 2.683
-1.559 -6.510 5.209
-0.505 -2.547 0.262
-1.262 -5.708 2.792

=====

LiGdHgPb (PBE, relaxed); formation energy from the elements = -1.83 eV/f.u.; V = 24.8 Å³ per atom; density of states at the Fermi level = 2.35 states/eV/cell
1.0
5.195 0.000 0.000
2.598 4.499 0.000
2.598 1.500 4.242
Pb Hg Gd Li
1 1 1 1
Cartesian
2.598 1.500 1.060
7.793 4.499 3.181
0.000 0.000 0.000
5.195 2.999 2.121

=====

Sc4CuRh2 (PBE, relaxed); formation energy from the elements = -4.47 eV/f.u.; V = 19.0 Å³ per atom; density of states at the Fermi level = 5.56 states/eV/cell
1.0
-1.197 3.397 -2.812
-4.363 1.337 -0.241
-0.655 6.459 4.368
Rh Sc Cu
2 4 1
Cartesian
-1.564 2.754 0.280
-4.650 8.438 1.034
-5.100 6.604 -0.990
-3.543 3.821 -1.301
-2.672 7.371 2.616
-1.114 4.588 2.304
0.000 0.000 0.000